The following is a GGA-PBE calculation of a relaxed Ce3CuC crystal, from Alexandria via LeMat-Bulk.

Properties
The space group is Pm-3m, No. 221. As for the crystal system: cubic. The value obtained for the volume is 23.17 Å³ per atom. The energy comes out at -30.90 eV/f.u. For the energy above the most stable polymorph in this dataset, the calculation gives 146 meV/atom. For the density of states at the Fermi level, the calculation gives 2.398 states/eV/atom.

Cell and atoms, written as CIF:
```
data_Ce3CuC
_chemical_formula_sum 'Ce3 Cu1 C1'
_cell_length_a 4.8747
_cell_length_b 4.8747
_cell_length_c 4.8747
_cell_angle_alpha 90.00
_cell_angle_beta 90.00
_cell_angle_gamma 90.00
_symmetry_space_group_name_H-M 'P 1'
_symmetry_Int_Tables_number 1
_symmetry_space_group_name_Hall 'P 1'
loop_
_atom_site_label
_atom_site_type_symbol
_atom_site_fract_x
_atom_site_fract_y
_atom_site_fract_z
_atom_site_occupancy
Cu1 Cu 0.5000 0.5000 0.5000 1
Ce1 Ce 0.5000 0.0000 0.0000 1
Ce2 Ce 0.0000 0.0000 0.5000 1
C1 C 0.0000 0.0000 0.0000 1
Ce3 Ce 0.0000 0.5000 0.0000 1
```